Entry 1:
The following is a DFT calculation (PBE) of an optimized crystal structure of Na5B6C4.

The structure in extended XYZ format:
```
30
Lattice="4.954 0.000 0.000 2.476 7.165 0.000 2.469 1.430 8.476" Properties=species:S:1:pos:R:3 pbc="T T T"
Na 0.000 0.000 0.000
Na 2.472 4.297 4.238
Na 2.468 1.432 4.238
Na 2.476 4.309 0.002
Na 4.946 2.864 8.474
Na 4.951 5.735 4.223
Na 4.948 2.860 4.253
Na 4.953 5.730 0.002
Na 7.423 4.285 8.474
Na 7.431 7.162 4.238
B 1.653 2.862 2.116
B 3.283 2.942 6.354
B 4.040 7.166 2.121
B 5.759 7.081 6.360
B 4.115 1.429 6.355
B 4.129 4.301 2.119
B 5.770 4.293 6.356
B 5.784 7.165 2.121
B 4.140 1.514 2.116
B 5.859 1.428 6.354
B 6.616 5.653 2.122
B 8.246 5.732 6.360
C 4.119 7.145 6.360
C 3.302 5.715 2.125
C 4.100 4.336 6.356
C 3.322 2.906 2.112
C 6.577 5.688 6.363
C 5.799 4.259 2.120
C 6.597 2.880 6.351
C 5.780 1.450 2.116
```

Results
DFT formation energy   0.08 eV/atom
M_tot   0.00 μB per formula unit
DOS(E_F)   0.237 states/eV per atom



Entry 2:
The following is a DFT calculation (PBE) of an optimized crystal structure of Na2B3C.

The structure in extended XYZ format:
```
12
Lattice="2.915 0.000 0.000 -1.458 2.525 0.000 0.000 0.000 17.144" Properties=species:S:1:pos:R:3 pbc="T T T"
Na 0.000 0.000 0.000
Na 0.000 0.000 4.213
Na 0.000 0.000 8.572
Na 0.000 0.000 12.931
B 0.000 1.683 2.099
B 0.000 1.683 6.386
B 0.000 1.683 10.758
B 1.458 0.842 6.386
B 1.458 0.842 10.758
B 1.458 0.842 15.045
C 0.000 1.683 15.046
C 1.458 0.842 2.097
```

Results
DFT formation energy   0.19 eV/atom
M_tot   0.00 μB per formula unit
DOS(E_F)   0.335 states/eV per atom



Entry 3:
The following is a DFT calculation (PBE) of an optimized crystal structure of Na5B8C2.

The structure in extended XYZ format:
```
30
Lattice="11.643 -1.425 0.000 11.643 1.425 0.000 -2.815 0.000 9.705" Properties=species:S:1:pos:R:3 pbc="T T T"
Na 0.000 0.000 0.000
Na 0.372 0.000 6.782
Na 3.527 0.000 3.896
Na 6.713 0.000 0.969
Na 7.057 0.000 7.762
Na 10.250 0.000 4.813
Na 13.397 0.000 1.954
Na 13.797 0.000 8.728
Na 16.900 0.000 5.855
Na 20.129 0.000 2.883
B -0.511 0.000 2.631
B 0.725 0.000 3.985
B 0.026 0.000 9.617
B 3.968 0.000 1.169
B 3.078 0.000 6.576
B 4.296 0.000 7.919
B 7.343 0.000 4.858
B 9.462 0.000 0.809
B 9.862 0.000 7.642
B 10.976 0.000 8.856
B 13.074 0.000 4.761
B 16.255 0.000 1.882
B 17.428 0.000 3.150
B 16.649 0.000 8.707
B 19.680 0.000 5.615
B 20.787 0.000 6.839
C 6.297 0.000 3.704
C 10.587 0.000 2.036
C 14.171 0.000 5.961
C 20.550 0.000 0.207
```

Results
DFT formation energy   0.19 eV/atom
M_tot   0.00 μB per formula unit
DOS(E_F)   0.314 states/eV per atom



Entry 4:
The following is a DFT calculation (PBE) of an optimized crystal structure of Na2B3C.

The structure in extended XYZ format:
```
24
Lattice="8.953 -1.424 0.000 8.953 1.424 0.000 -2.994 0.000 9.925" Properties=species:S:1:pos:R:3 pbc="T T T"
Na 0.000 0.000 0.000
Na 16.409 0.000 4.944
Na 4.115 0.000 1.243
Na 2.644 0.000 6.199
Na 6.679 0.000 7.430
Na 8.192 0.000 2.468
Na 10.813 0.000 8.688
Na 12.341 0.000 3.711
B 0.027 0.000 7.277
B 1.109 0.000 3.769
B -0.438 0.000 8.905
B 5.677 0.000 3.440
B 4.122 0.000 8.622
B 9.276 0.000 6.317
B 10.730 0.000 1.548
B 9.774 0.000 4.718
B 8.246 0.000 9.836
B 13.909 0.000 5.831
B 13.370 0.000 7.630
B 15.357 0.000 1.062
C 1.556 0.000 2.267
C 5.184 0.000 5.064
C 6.647 0.000 0.284
C 14.861 0.000 2.670
```

Results
DFT formation energy   0.17 eV/atom
M_tot   0.00 μB per formula unit
DOS(E_F)   0.342 states/eV per atom



Entry 5:
The following is a DFT calculation (PBE) of an optimized crystal structure of NaBC.

The structure in extended XYZ format:
```
12
Lattice="3.054 0.000 0.000 0.000 17.405 0.000 0.000 0.000 2.563" Properties=species:S:1:pos:R:3 pbc="T T T"
Na 0.000 1.956 0.641
Na 0.000 15.449 1.923
Na 1.527 6.746 1.923
Na 1.527 10.658 0.641
B 0.000 4.376 1.923
B 0.000 13.028 0.641
B 1.527 4.326 0.641
B 1.527 13.079 1.923
C 0.000 8.498 0.641
C 0.000 8.907 1.923
C 1.527 0.204 1.923
C 1.527 17.200 0.641
```

Results
DFT formation energy   0.80 eV/atom
M_tot   0.00 μB per formula unit
DOS(E_F)   0.277 states/eV per atom



Entry 6:
The following is a DFT calculation (PBE) of an optimized crystal structure of Na2B3C.

The structure in extended XYZ format:
```
30
Lattice="4.909 0.000 0.000 0.000 8.686 0.000 -1.880 0.000 7.402" Properties=species:S:1:pos:R:3 pbc="T T T"
Na 0.000 2.111 0.000
Na 0.000 6.575 0.000
Na 0.160 2.130 2.910
Na 0.160 6.556 2.910
Na 0.383 2.122 5.866
Na 0.383 6.564 5.866
Na 2.547 2.167 1.432
Na 2.547 6.520 1.432
Na 2.695 2.165 4.368
Na 2.695 6.521 4.368
B -1.368 4.343 6.042
B -1.203 0.000 6.050
B -0.708 0.000 4.326
B -0.625 4.343 4.296
B 0.890 0.000 1.517
B -0.296 4.343 7.398
B -0.187 0.000 7.366
B 1.043 0.000 4.323
B 1.831 4.343 2.899
B 1.826 4.343 5.645
B 3.399 0.000 0.100
B 1.599 4.343 7.360
B 2.073 0.000 5.689
B 3.335 0.000 2.839
B 4.290 4.343 1.517
C 1.003 4.343 1.519
C 1.006 4.343 4.330
C 1.726 0.000 2.861
C 3.461 4.343 2.928
C 4.181 0.000 1.453
```

Results
DFT formation energy   0.17 eV/atom
M_tot   0.00 μB per formula unit
DOS(E_F)   0.098 states/eV per atom